# 1
A relaxed structure of DyTlSnSe3, computed with PBE.

Output
Crystal system   orthorhombic
Theoretical density   5.94 g cm⁻³
Volume   33.6 Å³ per atom
Calculated total energy   -4.528 eV per atom
Uncorrected formation energy   -958 meV/atom

a b c (Å): 4.144 8.873 11.289
angles (deg): 90.00 90.00 103.50
Atoms (fractional coordinates):
Dy (0.000, 0.000, 0.500)
Dy (0.000, 0.000, 0.000)
Tl (0.700, 0.401, 0.750)
Tl (0.300, 0.599, 0.250)
Sn (0.369, 0.738, 0.750)
Sn (0.631, 0.262, 0.250)
Se (0.614, 0.229, 0.514)
Se (0.386, 0.771, 0.486)
Se (0.386, 0.771, 0.014)
Se (0.614, 0.229, 0.986)
Se (0.976, 0.952, 0.750)
Se (0.024, 0.048, 0.250)


# 2
A relaxed structure of Ca2BeS, computed with PBE.

Output
Offset from the most stable computed form   0.0 kJ/mol of formula units
Crystal system   tetragonal
Theoretical density   1.86 g cm⁻³
Fermi-level density of states   1.5 states/eV/cell
Volume   27.1 Å³ per atom
Calculated total energy   -3.373 eV per atom
Uncorrected formation energy   -409 meV/atom

a b c (Å): 7.518 7.518 6.551
angles (deg): 54.99 54.99 90.00
Atoms (fractional coordinates):
Be (0.500, 0.500, 0.000)
Be (0.250, 0.750, 0.500)
Ca (0.649, 0.125, 0.250)
Ca (0.101, 0.625, 0.250)
Ca (0.375, 0.351, 0.750)
Ca (0.875, 0.899, 0.750)
S (0.000, 0.000, 0.000)
S (0.750, 0.250, 0.500)


# 3
A relaxed structure of Li2BIr, computed with PBE.

Output
Offset from the most stable computed form   0.0 kJ/mol of formula units
Crystal system   monoclinic
Formation enthalpy at 0 K   -0.226 eV per atom
Theoretical density   6.78 g cm⁻³
Fermi-level density of states   0.9 states/eV/cell
Volume   13.3 Å³ per atom
Calculated total energy   -5.067 eV per atom

a b c (Å): 3.551 3.551 5.202
angles (deg): 91.34 109.66 118.21
Atoms (fractional coordinates):
Li (0.152, 0.825, 0.977)
Li (0.593, 0.058, 0.651)
B (0.047, 0.264, 0.310)
Ir (0.709, 0.603, 0.311)


# 4
A relaxed structure of Ho8Tm6Zr, computed with PBE.

Output
Crystal system   trigonal
Formation enthalpy at 0 K   0.157 eV per atom
Theoretical density   8.74 g cm⁻³
Fermi-level density of states   22.7 states/eV/cell
Volume   30.7 Å³ per atom
Calculated total energy   -4.643 eV per atom

a b c (Å): 5.711 9.648 9.648
angles (deg): 120.00 90.00 90.00
Atoms (fractional coordinates):
Ho (0.766, 0.051, 0.271)
Ho (0.766, 0.729, 0.780)
Ho (0.766, 0.220, 0.949)
Ho (0.234, 0.949, 0.729)
Ho (0.234, 0.271, 0.220)
Ho (0.234, 0.780, 0.051)
Ho (0.764, 0.333, 0.667)
Ho (0.236, 0.667, 0.333)
Tm (0.746, 0.620, 0.093)
Tm (0.746, 0.907, 0.527)
Tm (0.746, 0.473, 0.380)
Tm (0.254, 0.380, 0.907)
Tm (0.254, 0.093, 0.473)
Tm (0.254, 0.527, 0.620)
Zr (0.500, 0.000, 0.000)


What is the theoretical density in the fourth record? 8.74 g cm⁻³


calculated total energy of number 2 (Ca2BeS)? -3.373 eV per atom